Record 1
The following is a PBE-GGA calculation of a relaxed structure of Pr5Nd3Tl2, from the Alexandria database.

Structure (extended XYZ):
```
20
Lattice="-6.703 7.744 3.394 6.703 -7.744 3.394 6.703 7.744 -3.394" Properties=species:S:1:pos:R:3 pbc="T T T"
Pr 1.624 2.496 0.000
Pr 3.357 7.744 -1.697
Pr 0.000 0.000 1.697
Pr 3.346 0.000 1.697
Pr 8.327 5.248 0.000
Pr -1.624 2.496 3.394
Pr 3.346 0.000 5.091
Pr 3.357 7.744 1.697
Pr 0.000 0.000 5.091
Pr 5.079 5.248 3.394
Nd 5.128 3.707 0.000
Nd 6.703 0.000 1.697
Nd 5.128 -3.707 3.394
Nd 1.575 11.450 0.000
Nd 0.000 7.744 1.697
Nd 1.575 4.037 3.394
Tl 8.413 2.244 0.000
Tl 1.710 5.500 0.000
Tl 4.993 2.244 3.394
Tl -1.710 5.500 3.394
```

## Properties
DFT total energy (Ha/atom): -0.155
N(E_F) (states/eV/f.u.): 13.2
SG: Ibam (72)
Total moment (μB per formula unit): 0.0


Record 2
The following is a PBE-GGA calculation of a relaxed structure of DyC, from the Alexandria database.

Structure (extended XYZ):
```
4
Lattice="3.746 -1.757 0.000 3.746 1.757 0.000 -0.107 0.000 6.030" Properties=species:S:1:pos:R:3 pbc="T T T"
Dy 1.045 0.000 1.649
Dy 6.339 0.000 4.380
C 3.102 0.000 2.686
C 4.282 0.000 3.344
```

## Properties
DFT total energy (Ha/atom): -0.263
N(E_F) (states/eV/f.u.): 0.7
SG: C2/m (12)
Total moment (μB per formula unit): 0.0


Record 3
The following is a PBE-GGA calculation of a relaxed structure of LaCeHoPb, from the Alexandria database.

Structure (extended XYZ):
```
4
Lattice="0.000 3.921 3.921 3.921 0.000 3.921 3.921 3.921 0.000" Properties=species:S:1:pos:R:3 pbc="T T T"
La 0.000 0.000 0.000
Ce 5.881 5.881 5.881
Ho 3.921 3.921 3.921
Pb 1.960 1.960 1.960
```

## Properties
DFT total energy (Ha/atom): -0.179
N(E_F) (states/eV/f.u.): 9.0
SG: F-43m (216)
Total moment (μB per formula unit): 0.6


Record 4
The following is a PBE-GGA calculation of a relaxed structure of Ce6ZnGa5, from the Alexandria database.

Structure (extended XYZ):
```
12
Lattice="2.280 -6.844 0.000 2.280 6.844 0.000 0.000 0.000 8.672" Properties=species:S:1:pos:R:3 pbc="T T T"
Ce 0.000 0.000 2.161
Ce 0.000 0.000 6.510
Ce 2.280 2.277 2.164
Ce 2.280 2.277 6.508
Ce 2.280 -2.277 2.164
Ce 2.280 -2.277 6.508
Zn 2.280 0.000 4.336
Ga 2.280 4.576 4.336
Ga 2.280 4.555 0.000
Ga 2.280 0.000 0.000
Ga 2.280 -4.555 0.000
Ga 2.280 -4.576 4.336
```

## Properties
DFT total energy (Ha/atom): -0.176
N(E_F) (states/eV/f.u.): 20.4
SG: Cmmm (65)
Total moment (μB per formula unit): 0.0